Run A
This record from Alexandria via LeMat-Bulk describes TlSi2W at its PBEsol-relaxed geometry. The functional is SCAN.

a b c (Å): 3.3098 4.6725 8.4787
angles (deg): 90.00 90.00 90.00
With the nearest neighbours (Å) after each atom.
Space group Imm2 (No. 44)
One atom of each set of equivalent atoms:
Tl (0.0000, 0.0000, 0.0000)  8 Si 2.78-3.08, 4 W 2.91-2.98
Si (0.0000, 0.0000, 0.5184)  2 Si 2.48, 2 W 2.60
Si (0.0000, 0.5000, 0.2362)  2 Si 2.48
W (0.0000, 0.5000, 0.7819)  6 Si 2.60-2.89, 2 Tl 2.91

=====

Run B
This record from Alexandria via LeMat-Bulk describes TlSi2W at its PBEsol-relaxed geometry. The functional is SCAN.

a b c (Å): 2.9001 2.9001 29.5163
angles (deg): 90.00 90.00 120.00
With the nearest neighbours (Å) after each atom.
Space group R3m (No. 160, hexagonal axes)
One atom of each set of equivalent atoms:
Tl (0.0000, 0.0000, 0.0000)  6 Tl 2.90, 3 W 3.14
Si (0.0000, 0.0000, 0.2260)  9 Si 2.63-2.90
Si (0.0000, 0.0000, 0.4907)  3 W 2.60, 9 Si 2.63-2.90
W (0.0000, 0.0000, 0.7567)  3 Si 2.60, 6 W 2.90

=====

Result of the stability comparison: run B is the most stable of them.

=====

Run A
This record from Alexandria via LeMat-Bulk describes ZrTl2Si at its PBEsol-relaxed geometry. The functional is SCAN.

a b c (Å): 3.5687 3.8469 14.3322
angles (deg): 90.00 90.00 90.00
With the nearest neighbours (Å) after each atom.
Space group Immm (No. 71)
One atom of each set of equivalent atoms:
Zr (0.0000, 0.0000, 0.0000)  4 Si 2.62
Tl (0.0000, 0.5000, 0.3186)  2 Zr 3.15, 2 Si 3.23, 4 Tl 3.28
Si (0.0000, 0.0000, 0.5000)  4 Zr 2.62

=====

Run B
This record from Alexandria via LeMat-Bulk describes ZrTl2Si at its PBEsol-relaxed geometry. The functional is SCAN.

a b c (Å): 3.4975 4.1747 5.8676
angles (deg): 90.00 90.00 90.00
With the nearest neighbours (Å) after each atom.
Space group Pmmm (No. 47)
One atom of each set of equivalent atoms:
Zr (0.0000, 0.0000, 0.0000)  2 Si 2.93, 8 Tl 3.10
Tl (0.5000, 0.5000, 0.2531)  2 Tl 2.90-2.97, 4 Si 3.08, 4 Zr 3.10
Si (0.0000, 0.0000, 0.5000)  2 Zr 2.93, 8 Tl 3.08

=====

Run C
This record from Alexandria via LeMat-Bulk describes ZrTl2Si at its PBEsol-relaxed geometry. The functional is SCAN.

a b c (Å): 3.3016 3.3016 28.3925
angles (deg): 90.00 90.00 120.00
With the nearest neighbours (Å) after each atom.
Space group R3m (No. 160, hexagonal axes)
One atom of each set of equivalent atoms:
Zr (0.0000, 0.0000, 0.0000)  3 Si 2.77
Tl (0.0000, 0.0000, 0.5142)  3 Si 3.01, 9 Tl 3.28-3.30
Tl (0.0000, 0.0000, 0.7535)  3 Zr 3.12, 9 Tl 3.28-3.30
Si (0.0000, 0.0000, 0.2628)  3 Zr 2.77, 3 Tl 3.01

=====

Result of the stability comparison: run A is the most stable of them.

=====

Run A
This record from Alexandria via LeMat-Bulk describes ZrTl2Si at its PBEsol-relaxed geometry. The functional is SCAN.

a b c (Å): 3.3131 3.3131 27.6473
angles (deg): 90.00 90.00 120.00
With the nearest neighbours (Å) after each atom.
Space group R-3m (No. 166, hexagonal axes)
One atom of each set of equivalent atoms:
Zr (0.0000, 0.0000, 0.0000)  6 Tl 3.09, 6 Zr 3.31
Tl (0.0000, 0.0000, 0.2454)  3 Si 2.90, 3 Zr 3.09
Si (0.0000, 0.0000, 0.5000)  6 Tl 2.90

=====

Run B
This record from Alexandria via LeMat-Bulk describes ZrTl2Si at its PBEsol-relaxed geometry. The functional is SCAN.

a b c (Å): 5.1649 5.1649 3.2807
angles (deg): 90.00 90.00 90.00
With the nearest neighbours (Å) after each atom.
Space group P4/mmm (No. 123)
One atom of each set of equivalent atoms:
Zr (0.0000, 0.0000, 0.0000)  8 Tl 3.06, 2 Zr 3.28
Tl (0.0000, 0.5000, 0.5000)  4 Zr 3.06, 4 Si 3.06, 2 Tl 3.28
Si (0.5000, 0.5000, 0.0000)  8 Tl 3.06, 2 Si 3.28

=====

Result of the stability comparison: run A is the most stable of them.

=====

Run A
This record from Alexandria via LeMat-Bulk describes V5Si3 at its PBEsol-relaxed geometry. The functional is SCAN.

a b c (Å): 6.1325 6.1325 10.9260
angles (deg): 90.00 90.00 90.00
With the nearest neighbours (Å) after each atom.
Space group I4/mcm (No. 140)
One atom of each set of equivalent atoms:
V (0.0000, 0.0000, 0.0000)  4 Si 2.39
V (0.1651, 0.3349, 0.1519)  5 Si 2.41-2.53, 1 V 2.60
Si (0.0000, 0.0000, 0.2500)  10 V 2.53-2.73
Si (0.1334, 0.3666, 0.5000)  1 Si 2.31, 8 V 2.39-2.48

=====

Run B
This record from Alexandria via LeMat-Bulk describes V5Si3 at its PBEsol-relaxed geometry. The functional is SCAN.

a b c (Å): 7.0496 7.0496 4.7812
angles (deg): 90.00 90.00 120.00
With the nearest neighbours (Å) after each atom.
Space group P6_3/mcm (No. 193)
One atom of each set of equivalent atoms:
V (0.0000, 0.2444, 0.2500)  5 Si 2.44-2.62
V (0.3333, 0.6667, 0.0000)  2 V 2.39, 6 Si 2.47
Si (0.0000, 0.3957, 0.7500)  9 V 2.44-2.62

=====

Result of the stability comparison: run A is the most stable of them.

=====

Run A
This record from Alexandria via LeMat-Bulk describes Si2W at its PBEsol-relaxed geometry. The functional is SCAN.

a b c (Å): 3.2024 3.2024 7.8138
angles (deg): 90.00 90.00 90.00
With the nearest neighbours (Å) after each atom.
Space group I4/mmm (No. 139)
One atom of each set of equivalent atoms:
Si (0.0000, 0.0000, 0.1655)  5 Si 2.59-2.62, 5 W 2.61
W (0.0000, 0.0000, 0.5000)  10 Si 2.61

=====

Run B
This record from Alexandria via LeMat-Bulk describes Si2W at its PBEsol-relaxed geometry. The functional is SCAN.

a b c (Å): 5.9602 5.9602 5.1295
angles (deg): 90.00 90.00 90.00
With the nearest neighbours (Å) after each atom.
Space group I4/mcm (No. 140)
One atom of each set of equivalent atoms:
Si (0.1408, 0.3592, 0.0000)  1 Si 2.37, 4 W 2.63
W (0.0000, 0.0000, 0.2500)  2 W 2.56, 8 Si 2.63

=====

Run C
This record from Alexandria via LeMat-Bulk describes Si2W at its PBEsol-relaxed geometry. The functional is SCAN.

a b c (Å): 5.8365 5.8365 5.8365
angles (deg): 90.00 90.00 90.00
With the nearest neighbours (Å) after each atom.
Space group Fm-3m (No. 225)
One atom of each set of equivalent atoms:
Si (0.2500, 0.2500, 0.2500)  4 W 2.53
W (0.0000, 0.0000, 0.0000)  8 Si 2.53

=====

Result of the stability comparison: run A is the most stable of them.

=====

Run A
This record from Alexandria via LeMat-Bulk describes ZnSiW2 at its PBEsol-relaxed geometry. The functional is SCAN.

a b c (Å): 3.2960 4.1946 8.2477
angles (deg): 90.00 90.00 90.00
With the nearest neighbours (Å) after each atom.
Space group Imm2 (No. 44)
One atom of each set of equivalent atoms:
Zn (0.0000, 0.0000, 0.0000)  2 Si 2.58, 8 W 2.67-2.87
Si (0.0000, 0.5000, 0.7410)  2 Zn 2.58, 6 W 2.59-2.67
W (0.0000, 0.0000, 0.4830)  2 Si 2.59, 2 W 2.67, 4 Zn 2.67
W (0.0000, 0.5000, 0.2376)  4 Si 2.67, 4 W 2.67-2.91, 4 Zn 2.72-2.87

=====

Run B
This record from Alexandria via LeMat-Bulk describes ZnSiW2 at its PBEsol-relaxed geometry. The functional is SCAN.

a b c (Å): 6.1280 6.1280 6.1280
angles (deg): 90.00 90.00 90.00
With the nearest neighbours (Å) after each atom.
Space group F-43m (No. 216)
One atom of each set of equivalent atoms:
Zn (0.0000, 0.0000, 0.0000)  4 W 2.65, 4 Si 2.65
Si (0.2500, 0.2500, 0.2500)  4 W 2.65, 4 Zn 2.65
W (0.0000, 0.0000, 0.5000)  4 Si 2.65, 4 W 2.65
W (0.2500, 0.2500, 0.7500)  4 W 2.65, 4 Zn 2.65

=====

Result of the stability comparison: run A is the most stable of them.

=====

Run A
This record from Alexandria via LeMat-Bulk describes ZnSiW at its PBEsol-relaxed geometry. The functional is SCAN.

a b c (Å): 5.7361 5.7361 5.7361
angles (deg): 90.00 90.00 90.00
With the nearest neighbours (Å) after each atom.
Space group F-43m (No. 216)
One atom of each set of equivalent atoms:
Zn (0.0000, 0.0000, 0.0000)  4 Si 2.48
Si (0.2500, 0.2500, 0.2500)  4 Zn 2.48, 4 W 2.48
W (0.0000, 0.0000, 0.5000)  4 Si 2.48

=====

Run B
This record from Alexandria via LeMat-Bulk describes ZnSiW at its PBEsol-relaxed geometry. The functional is SCAN.

a b c (Å): 3.1465 3.1465 8.5140
angles (deg): 90.00 90.00 90.00
With the nearest neighbours (Å) after each atom.
Space group I4mm (No. 107)
One atom of each set of equivalent atoms:
Zn (0.0000, 0.0000, 0.0000)  5 Si 2.63-2.85, 5 W 2.70-2.72
Si (0.0000, 0.0000, 0.6657)  4 W 2.58, 5 Zn 2.63-2.85
W (0.0000, 0.0000, 0.3194)  4 Si 2.58, 5 Zn 2.70-2.72

=====

Result of the stability comparison: run B is the most stable of them.

=====

Run A
This record from Alexandria via LeMat-Bulk describes YZr2Si at its PBEsol-relaxed geometry. The functional is SCAN.

a b c (Å): 3.0618 3.0618 9.1540
angles (deg): 90.00 90.00 90.00
With the nearest neighbours (Å) after each atom.
Space group P4/mmm (No. 123)
One atom of each set of equivalent atoms:
Y (0.0000, 0.0000, 0.0000)  4 Y 3.06
Zr (0.5000, 0.5000, 0.3028)  4 Si 2.82, 4 Zr 3.06
Si (0.0000, 0.0000, 0.5000)  8 Zr 2.82, 4 Si 3.06

=====

Run B
This record from Alexandria via LeMat-Bulk describes YZr2Si at its PBEsol-relaxed geometry. The functional is SCAN.

a b c (Å): 4.3424 4.3424 4.3406
angles (deg): 90.00 90.00 90.00
With the nearest neighbours (Å) after each atom.
Space group P4/mmm (No. 123)
One atom of each set of equivalent atoms:
Y (0.0000, 0.0000, 0.0000)  8 Zr 3.07, 4 Si 3.07
Zr (0.0000, 0.5000, 0.5000)  4 Si 3.07, 4 Y 3.07, 4 Zr 3.07
Si (0.5000, 0.5000, 0.0000)  8 Zr 3.07, 4 Y 3.07

=====

Result of the stability comparison: run B is the most stable of them.

=====

Run A
This record from Alexandria via LeMat-Bulk describes YZr2Si at its PBEsol-relaxed geometry. The functional is SCAN.

a b c (Å): 3.8477 4.5749 9.5681
angles (deg): 90.00 90.00 90.00
With the nearest neighbours (Å) after each atom.
Space group Immm (No. 71)
One atom of each set of equivalent atoms:
Y (0.0000, 0.0000, 0.0000)  4 Si 2.99, 8 Zr 3.14-3.26
Zr (0.0000, 0.5000, 0.2243)  2 Si 2.88, 4 Zr 3.03, 2 Y 3.14
Si (0.0000, 0.0000, 0.5000)  4 Zr 2.88, 4 Y 2.99

=====

Run B
This record from Alexandria via LeMat-Bulk describes YZr2Si at its PBEsol-relaxed geometry. The functional is SCAN.

a b c (Å): 4.0195 4.4145 9.3797
angles (deg): 90.00 90.00 90.00
With the nearest neighbours (Å) after each atom.
Space group Imm2 (No. 44)
One atom of each set of equivalent atoms:
Y (0.0000, 0.0000, 0.0000)  8 Zr 3.01-3.18, 4 Si 3.06-3.25
Zr (0.0000, 0.0000, 0.4630)  2 Si 2.86, 4 Y 3.01, 2 Zr 3.06
Zr (0.0000, 0.5000, 0.2378)  4 Si 2.99, 4 Zr 3.06-3.27, 4 Y 3.14-3.18
Si (0.0000, 0.5000, 0.7455)  6 Zr 2.86-2.99, 2 Y 3.06

=====

Result of the stability comparison: run A is the most stable of them.

=====

Run A
This record from Alexandria via LeMat-Bulk describes YZr2Si at its PBEsol-relaxed geometry. The functional is SCAN.

a b c (Å): 10.8618 3.1483 5.2066
angles (deg): 90.00 105.94 90.00
With the nearest neighbours (Å) after each atom.
Space group C2/m (No. 12)
One atom of each set of equivalent atoms:
Y (0.0000, 0.0000, 0.0000)  4 Si 3.04, 6 Zr 3.13-3.39, 2 Y 3.15
Zr (0.2193, 0.0000, 0.7165)  2 Si 2.82, 4 Zr 2.97-3.15, 1 Y 3.13
Si (0.0000, 0.5000, 0.5000)  4 Zr 2.82, 4 Y 3.04, 2 Si 3.15

=====

Run B
This record from Alexandria via LeMat-Bulk describes YZr2Si at its PBEsol-relaxed geometry. The functional is SCAN.

a b c (Å): 3.3280 3.3280 27.9032
angles (deg): 90.00 90.00 120.00
With the nearest neighbours (Å) after each atom.
Space group R3m (No. 160, hexagonal axes)
One atom of each set of equivalent atoms:
Y (0.0000, 0.0000, 0.0000)  3 Si 2.87
Zr (0.0000, 0.0000, 0.5200)  3 Si 2.74
Zr (0.0000, 0.0000, 0.7658)  9 Zr 3.11-3.33, 3 Y 3.37
Si (0.0000, 0.0000, 0.2568)  3 Zr 2.74, 3 Y 2.87

=====

Result of the stability comparison: run A is the most stable of them.

=====

Run A
This record from Alexandria via LeMat-Bulk describes Zr5Si4 at its PBEsol-relaxed geometry. The functional is SCAN.

a b c (Å): 8.1486 8.1486 5.5854
angles (deg): 90.00 90.00 120.00
With the nearest neighbours (Å) after each atom.
Space group P6_3/mcm (No. 193)
One atom of each set of equivalent atoms:
Zr (0.0000, 0.2712, 0.2500)  5 Si 2.61-2.83
Zr (0.3333, 0.6667, 0.0000)  2 Zr 2.79, 6 Si 2.88
Si (0.0000, 0.0000, 0.0000)  6 Zr 2.61, 2 Si 2.79
Si (0.0000, 0.3909, 0.7500)  9 Zr 2.75-2.96

=====

Run B
This record from Alexandria via LeMat-Bulk describes Zr5Si4 at its PBEsol-relaxed geometry. The functional is SCAN.

a b c (Å): 7.0817 7.0817 12.9310
angles (deg): 90.00 90.00 90.00
With the nearest neighbours (Å) after each atom.
Space group P4_12_12 (No. 92)
One atom of each set of equivalent atoms:
Zr (0.0010, 0.3499, 0.0352)  6 Si 2.75-3.03
Zr (0.0015, 0.1456, 0.6267)  6 Si 2.62-2.77
Zr (0.1750, 0.8250, 0.7500)  6 Si 2.73-2.86, 2 Zr 3.03
Si (0.0501, 0.6988, 0.9378)  1 Si 2.49, 5 Zr 2.67-2.78
Si (0.1467, 0.2056, 0.8228)  1 Si 2.49, 4 Zr 2.62-2.77

=====

Result of the stability comparison: run B is the most stable of them.

=====

Run A
This record from Alexandria via LeMat-Bulk describes SmY3 at its PBEsol-relaxed geometry. The functional is SCAN.

a b c (Å): 4.9700 4.9700 9.9328
angles (deg): 90.00 90.00 90.00
With the nearest neighbours (Å) after each atom.
Space group I4/mmm (No. 139)
One atom of each set of equivalent atoms:
Sm (0.0000, 0.0000, 0.0000)  12 Y 3.51
Y (0.0000, 0.0000, 0.5000)  8 Y 3.51, 4 Sm 3.51
Y (0.0000, 0.5000, 0.2500)  4 Sm 3.51, 8 Y 3.51

=====

Run B
This record from Alexandria via LeMat-Bulk describes SmY3 at its PBEsol-relaxed geometry. The functional is SCAN.

a b c (Å): 7.1599 7.1599 5.6175
angles (deg): 90.00 90.00 120.00
With the nearest neighbours (Å) after each atom.
Space group P6_3/mmc (No. 194)
One atom of each set of equivalent atoms:
Sm (0.3333, 0.6667, 0.2500)  12 Y 3.49-3.58
Y (0.1667, 0.3333, 0.7500)  8 Y 3.49-3.58, 4 Sm 3.49-3.58

=====

Result of the stability comparison: run B is the most stable of them.